BaSrZnWO6 | PBE+U | optimized geometry

volume	136	Å³ per cell
total energy	-6.55	eV per atom

Cell: 5.7751 5.7751 5.7751 Å, 60.00 60.00 60.00°
Sites, in units of the cell vectors:
Ba  0.7500  0.7500  0.7500
Sr  0.2500  0.2500  0.2500
Zn  0.5000  0.5000  0.5000
W  0.0000  0.0000  0.0000
O  0.7606  0.2394  0.2394
O  0.7606  0.7606  0.2394
O  0.2394  0.7606  0.2394
O  0.2394  0.2394  0.7606
O  0.7606  0.2394  0.7606
O  0.2394  0.7606  0.7606